Th2Ni3B GGA-PBE optimized geometry; calculated formation energy = -0.436 eV per atom; space-group type = Fmmm; total DFT energy (no corrections) = -6.9125 eV per atom
1.0
-3.552 -3.661 -2.041
-1.265 -1.922 4.989
-2.651 7.421 -0.973
B Ni Th
2 6 4
Cartesian
-3.373 3.086 0.334 B
-4.095 -1.249 1.641 B
-2.243 -0.701 0.903 Ni
-5.629 0.154 1.793 Ni
-5.225 2.538 1.072 Ni
-1.839 1.683 0.182 Ni
-4.406 -3.207 2.226 Ni
-3.062 5.044 -0.252 Ni
-1.830 -2.352 3.253 Th
-2.987 -3.232 -0.305 Th
-3.162 1.353 2.745 Th
-4.306 0.484 -0.770 Th



ThNi3B3 GGA-PBE optimized geometry; calculated formation energy = -0.187 eV per atom; space-group type = P2_1/m; total DFT energy (no corrections) = -6.5861 eV per atom
1.0
3.218 0.000 0.000
0.000 5.582 -5.435
0.000 -0.354 10.543
Ni B Th
6 6 2
Cartesian
2.414 4.343 -2.493 Ni
0.805 0.379 3.781 Ni
2.414 4.850 1.328 Ni
0.805 4.095 3.061 Ni
2.414 1.134 2.048 Ni
0.805 0.885 7.602 Ni
2.414 2.038 8.062 B
2.414 5.221 -0.618 B
0.805 0.007 5.727 B
2.414 3.103 2.357 B
0.805 2.125 2.752 B
0.805 3.190 -2.953 B
2.414 2.510 5.235 Th
0.805 2.719 -0.127 Th



ThNi7B2 GGA-PBE optimized geometry; calculated formation energy = -0.150 eV per atom; space-group type = Cmmm; total DFT energy (no corrections) = -6.2748 eV per atom
1.0
-0.726 -0.919 -3.758
4.164 -4.305 0.249
-5.570 -1.648 1.478
Ni B Th
7 2 1
Cartesian
0.717 -2.009 -1.709 Ni
-1.066 -3.436 -1.016 Ni
-2.000 -1.268 -1.366 Ni
-2.269 -2.549 1.061 Ni
0.862 -3.404 0.666 Ni
-2.849 -4.862 -0.322 Ni
-0.133 -5.604 -0.665 Ni
0.927 -3.980 -1.267 B
-3.059 -2.892 -0.764 B
0.000 0.000 0.000 Th



ThNi8B4 GGA-PBE optimized geometry; calculated formation energy = -0.139 eV per atom; space-group type = I4/mmm; total DFT energy (no corrections) = -6.3218 eV per atom
1.0
-1.745 1.458 -3.943
-4.828 -2.991 -1.596
-3.975 4.299 0.722
B Ni Th
4 8 1
Cartesian
-2.860 2.878 -1.610 B
-3.287 -0.767 -2.769 B
-1.988 2.149 0.361 B
-2.414 -1.496 -0.798 B
-5.504 -0.582 -3.033 Ni
-5.045 3.347 -1.784 Ni
-2.500 0.694 -1.264 Ni
-8.049 2.071 -3.553 Ni
-4.536 -0.498 -0.803 Ni
-4.159 1.406 -2.893 Ni
-6.389 1.359 -1.924 Ni
-4.267 1.805 -0.071 Ni
0.000 0.000 0.000 Th



ThNiB GGA-PBE optimized geometry; calculated formation energy = -0.394 eV per atom; excess energy over the best structure of this formula in the dataset = 0.000 eV per atom; space-group type = Pmma; total DFT energy (no corrections) = -7.0206 eV per atom
1.0
-1.863 3.487 -0.210
0.037 -0.187 -3.430
-6.223 -3.318 0.113
Ni Th B
2 2 2
Cartesian
-3.198 1.886 -0.881 Ni
-4.725 0.968 -2.568 Ni
-4.717 -1.164 -0.731 Th
-1.343 0.532 -2.507 Th
-7.452 -0.381 -0.803 B
-6.696 -0.081 -2.532 B



ThNi22B6 GGA-PBE optimized geometry; calculated formation energy = -0.181 eV per atom; space-group type = Fm-3m; total DFT energy (no corrections) = -6.2044 eV per atom
1.0
6.515 0.000 3.761
2.172 6.142 3.761
0.000 0.000 7.523
Ni B Th
22 6 1
Cartesian
0.752 2.127 1.302 Ni
5.359 3.789 9.282 Ni
2.256 0.000 6.220 Ni
2.172 1.536 3.761 Ni
3.676 4.015 3.761 Ni
2.312 3.789 7.523 Ni
2.256 0.000 1.302 Ni
0.752 2.127 6.220 Ni
0.000 0.000 4.918 Ni
5.011 2.127 3.761 Ni
4.259 0.000 5.064 Ni
1.420 4.015 5.064 Ni
4.343 5.226 7.523 Ni
3.328 2.353 5.763 Ni
0.000 0.000 2.605 Ni
3.328 2.353 9.282 Ni
1.420 4.015 2.459 Ni
6.375 2.353 7.523 Ni
6.515 4.607 11.284 Ni
4.259 0.000 2.459 Ni
4.343 0.917 7.523 Ni
5.359 3.789 5.763 Ni
3.369 4.448 5.836 B
5.317 1.694 5.836 B
5.317 1.694 9.210 B
6.291 4.448 7.523 B
2.395 1.694 7.523 B
3.369 4.448 9.210 B
0.000 0.000 0.000 Th



ThNi4B4 GGA-PBE optimized geometry; calculated formation energy = -0.404 eV per atom; excess energy over the best structure of this formula in the dataset = 0.016 eV per atom; space-group type = P4_2/n; total DFT energy (no corrections) = -6.7658 eV per atom
1.0
-1.051 0.243 3.570
-1.884 -7.036 -0.076
6.730 -1.825 2.105
Ni B Th
8 8 2
Cartesian
3.650 -5.558 4.987 Ni
4.964 -4.020 3.321 Ni
1.557 -1.204 2.850 Ni
-0.973 -4.643 1.615 Ni
2.043 -7.369 3.413 Ni
0.988 -6.702 1.108 Ni
-0.710 -2.862 3.520 Ni
3.664 -2.114 1.584 Ni
3.733 -3.556 4.867 B
3.834 -6.423 3.144 B
3.845 -2.335 3.608 B
-0.248 -6.237 2.669 B
0.161 -2.241 1.778 B
-0.789 -4.865 3.625 B
1.737 -2.068 1.022 B
2.910 -6.746 1.685 B
0.000 0.000 0.000 Th
1.898 -4.309 2.800 Th



ThNiB4 GGA-PBE optimized geometry; calculated formation energy = -0.468 eV per atom; space-group type = Pbam; total DFT energy (no corrections) = -7.1201 eV per atom
1.0
3.623 0.000 0.000
0.000 6.024 0.000
0.000 0.000 11.693
B Th Ni
16 4 4
Cartesian
1.811 0.663 6.379 B
1.811 0.144 8.063 B
1.811 3.868 6.243 B
1.811 4.338 7.997 B
1.811 5.167 0.396 B
1.811 3.156 9.477 B
1.811 5.361 5.314 B
1.811 0.856 11.296 B
1.811 2.156 5.450 B
1.811 1.326 9.542 B
1.811 1.686 3.696 B
1.811 2.349 0.533 B
1.811 3.675 11.160 B
1.811 4.698 2.151 B
1.811 2.868 2.216 B
1.811 5.880 3.630 B
0.000 5.254 9.940 Th
0.000 0.770 1.753 Th
0.000 2.242 7.600 Th
0.000 3.782 4.093 Th
0.000 5.221 6.868 Ni
0.000 2.209 10.671 Ni
0.000 3.815 1.022 Ni
0.000 0.803 4.825 Ni



ThNi4B4 GGA-PBE optimized geometry; calculated formation energy = -0.420 eV per atom; excess energy over the best structure of this formula in the dataset = 0.000 eV per atom; space-group type = P4_2/nmc; total DFT energy (no corrections) = -6.7820 eV per atom
1.0
-1.675 1.509 -4.597
-2.413 -4.477 -0.591
-5.921 2.787 3.072
Ni B Th
8 8 2
Cartesian
-6.748 0.550 1.217 Ni
-7.587 1.306 -1.088 Ni
-4.178 2.147 0.797 Ni
-3.971 -2.336 0.680 Ni
-3.447 -2.231 -2.328 Ni
-2.768 -0.104 0.974 Ni
-2.237 0.014 -2.032 Ni
-5.013 2.900 -1.494 Ni
-3.551 -0.535 -3.628 B
-3.129 1.954 -2.027 B
-4.713 0.353 1.833 B
-6.213 2.343 0.182 B
-2.567 1.448 -0.484 B
-7.817 -0.631 -0.211 B
-5.522 -1.149 1.635 B
-2.438 -1.538 -0.573 B
0.000 0.000 0.000 Th
-5.005 -0.090 -1.058 Th



ThNi5B2 GGA-PBE optimized geometry; calculated formation energy = -0.433 eV per atom; space-group type = Immm; total DFT energy (no corrections) = -6.6433 eV per atom
1.0
-1.940 -2.156 2.006
-2.781 -3.494 -3.344
2.304 -5.079 -0.131
Ni B Th
5 2 1
Cartesian
-0.238 -4.286 -1.738 Ni
-1.944 -6.089 -2.225 Ni
-2.413 -4.035 -0.470 Ni
-0.473 -4.640 0.756 Ni
-0.004 -6.694 -0.999 Ni
-1.834 -7.950 -1.020 B
-0.582 -2.778 -0.450 B
0.000 0.000 0.000 Th



ThNi6B2 GGA-PBE optimized geometry; calculated formation energy = -0.280 eV per atom; space-group type = P4/mmm; total DFT energy (no corrections) = -6.4424 eV per atom
1.0
-1.569 1.801 -2.689
-1.116 -3.106 -1.429
-7.008 0.485 4.415
Ni B Th
6 2 1
Cartesian
-5.771 1.246 1.797 Ni
-2.807 1.040 -0.070 Ni
-4.847 -0.410 0.149 Ni
-3.504 0.243 2.208 Ni
-5.544 -1.208 2.427 Ni
-2.580 -1.413 0.559 Ni
-2.587 -0.566 -1.275 B
-7.106 -0.253 1.572 B
0.000 0.000 0.000 Th



TiNi2B GGA-PBE optimized geometry; calculated formation energy = 0.030 eV per atom; space-group type = I-42d; total DFT energy (no corrections) = -6.5041 eV per atom
1.0
-0.623 -0.128 -3.383
2.617 -2.201 -0.399
-3.836 -7.114 -0.777
B Ni Ti
2 4 2
Cartesian
-0.111 -5.239 -1.533 B
0.997 -1.164 -1.891 B
-0.999 -2.129 -2.240 Ni
-1.223 -7.296 -3.878 Ni
-2.038 -6.286 -2.015 Ni
0.577 -3.174 -0.984 Ni
-1.731 -4.203 -3.026 Ti
0.000 0.000 0.000 Ti